Compound: HfNbRe2
Source: OQMD via LeMat-Bulk
Functional: GGA-PBE
Structure: optimized geometry

Final energy ... -11.39 eV per atom
ΔE_f ... -0.17 eV/atom

The structure in extended XYZ format:
```
4
Lattice="0.000 3.218 3.218 3.218 0.000 3.218 3.218 3.218 0.000" Properties=species:S:1:pos:R:3 pbc="T T T"
Re 4.828 4.828 4.828
Re 0.000 0.000 0.000
Nb 3.218 3.218 3.218
Hf 1.609 1.609 1.609
```

=====

Compound: LuNbPb
Source: OQMD via LeMat-Bulk
Functional: GGA-PBE
Structure: optimized geometry

Final energy ... -5.50 eV per atom

The structure in extended XYZ format:
```
3
Lattice="2.465 1.423 4.026 -2.465 1.423 4.026 0.000 -2.847 4.026" Properties=species:S:1:pos:R:3 pbc="T T T"
Nb 0.000 0.000 0.000
Lu 0.000 0.000 3.019
Pb 0.000 0.000 9.058
```